# 1
Below is a geometry-optimized Ho5CoHg4 structure, with properties calculated at the PBE-GGA level.

Output
energy of formation from the pure elements: -4.07 eV/f.u.
D(E_F): 7.38 states/eV/f.u.

a b c (Å): 3.5725 3.5725 18.8228
angles (deg): 90.00 90.00 90.00
Atoms (fractional coordinates):
Ho 0.0000 0.0000 0.0000
Ho 0.0000 0.0000 0.2064
Ho 0.0000 0.0000 0.4158
Ho 0.0000 0.0000 0.5842
Ho 0.0000 0.0000 0.7936
Co 0.5000 0.5000 0.5000
Hg 0.5000 0.5000 0.1029
Hg 0.5000 0.5000 0.3088
Hg 0.5000 0.5000 0.6912
Hg 0.5000 0.5000 0.8971

# 2
Below is a geometry-optimized Li4SbPb structure, with properties calculated at the PBE-GGA level.

Output
formation energy from raw total energies: -0.346 eV/atom
distance to the lowest polymorph of the same formula: 0.0 meV per atom
D(E_F): 2.25 states/eV/f.u.

a b c (Å): 4.8160 5.3732 9.5434
angles (deg): 90.00 95.42 90.00
Atoms (fractional coordinates):
Li 0.1997 0.2500 0.1633
Li 0.2618 0.2500 0.4656
Li 0.2895 0.0099 0.7313
Li 0.2895 0.4901 0.7313
Li 0.7105 0.5099 0.2687
Li 0.7105 0.9901 0.2687
Li 0.7382 0.7500 0.5344
Li 0.8003 0.7500 0.8367
Sb 0.2159 0.7500 0.3563
Sb 0.7841 0.2500 0.6437
Pb 0.3057 0.7500 0.0112
Pb 0.6943 0.2500 0.9888

# 3
Below is a geometry-optimized Tb6Ge2TeP3 structure, with properties calculated at the PBE-GGA level.

Output
formation energy from raw total energies: -1.296 eV/atom
D(E_F): 4.35 states/eV/f.u.

a b c (Å): 9.2922 9.2922 8.4274
angles (deg): 104.41 104.41 25.15
Atoms (fractional coordinates):
Tb 0.0013 0.0013 0.2284
Tb 0.3258 0.3258 0.4204
Tb 0.3353 0.3353 0.9071
Tb 0.6647 0.6647 0.0929
Tb 0.6742 0.6742 0.5796
Tb 0.9987 0.9987 0.7716
Ge 0.1671 0.1671 0.8348
Ge 0.8329 0.8329 0.1652
Te 0.5000 0.5000 0.5000
P 0.1639 0.1639 0.3341
P 0.5000 0.5000 0.0000
P 0.8361 0.8361 0.6659

# 4
Below is a geometry-optimized Ca2YCdSe4 structure, with properties calculated at the PBE-GGA level.

Output
formation energy from raw total energies: -1.549 eV/atom
D(E_F): 3.88 states/eV/f.u.

a b c (Å): 7.0966 4.1513 7.4415
angles (deg): 90.00 109.61 90.00
Atoms (fractional coordinates):
Ca 0.0000 0.0000 0.0000
Ca 0.0000 0.5000 0.5000
Y 0.5000 0.0000 0.5000
Cd 0.5000 0.5000 0.0000
Se 0.2554 0.5000 0.2563
Se 0.2592 0.0000 0.7453
Se 0.7408 0.0000 0.2547
Se 0.7446 0.5000 0.7437

# 5
Below is a geometry-optimized Dy4Co2Cu5 structure, with properties calculated at the PBE-GGA level.

Output
energy of formation from the pure elements: -2.19 eV/f.u.
D(E_F): 7.94 states/eV/f.u.

a b c (Å): 6.6681 3.9609 7.6785
angles (deg): 90.00 92.56 90.00
Atoms (fractional coordinates):
Dy 0.2205 0.0000 0.3597
Dy 0.2419 0.0000 0.8947
Dy 0.7581 0.0000 0.1053
Dy 0.7795 0.0000 0.6403
Co 0.0721 0.5000 0.1340
Co 0.9279 0.5000 0.8660
Cu 0.1450 0.5000 0.6223
Cu 0.4424 0.5000 0.1583
Cu 0.5000 0.5000 0.5000
Cu 0.5576 0.5000 0.8417
Cu 0.8550 0.5000 0.3777

# 6
Below is a geometry-optimized ScH structure, with properties calculated at the PBE-GGA level.

Output
D(E_F): 0.88 states/eV/f.u.

a b c (Å): 3.3411 3.3411 3.3411
angles (deg): 60.00 60.00 60.00
Atoms (fractional coordinates):
Sc 0.0000 0.0000 0.0000
H 0.2500 0.2500 0.2500

no.,energy (eV per atom)
1,-3.5271
2,-2.9269
3,-5.9952
4,-4.7145
5,-5.0268
6,-5.2821